## Fe2H3Rh3 (PBE-GGA)

Data for a geometry-optimized Fe2H3Rh3 structure. Values from VASP.

Output
E   -6.018 eV per atom
Total magnetic moment   0.84 μB per atom
Density   8.9 g/cm3

Geometry as Quantum ESPRESSO input:
```
&SYSTEM
  ibrav = 0, nat = 16, ntyp = 3
/
ATOMIC_SPECIES
Fe 55.84 Fe.upf
H 1.01 H.upf
Rh 102.91 Rh.upf
ATOMIC_POSITIONS angstrom
Fe 0.0000 3.0304 0.4730
Fe 0.0000 3.1007 4.4075
Fe 1.8875 3.8822 6.1439
Fe 1.8875 1.3666 9.2881
H 1.8875 2.9644 4.2134
H 0.0000 2.1508 2.4386
H 1.8875 2.9921 0.8522
H 0.0000 1.4956 5.6416
H 0.0000 1.3996 8.9593
H 1.8875 2.0659 7.2081
Rh 1.8875 3.8504 8.5793
Rh 0.0000 2.2346 7.3367
Rh 1.8875 1.3614 5.4166
Rh 1.8875 2.2241 2.4760
Rh 0.0000 0.4937 3.7189
Rh 0.0000 0.5416 1.1691
CELL_PARAMETERS angstrom
3.7751 0.0000 0.0000
-1.8875 4.2682 0.0111
0.0000 0.1473 9.7740
```